Run w
{"formula": "AlIn2Pb", "functional": "PBE", "state": "optimized geometry", "m_tot_mub_per_cell": 0.00, "lattice_angstrom": [[3.321, -0.100, 0.000], [-1.143, 3.120, 0.000], [0.000, 0.000, 10.290]], "species": ["Pb", "Al", "In", "In"], "frac_coords": [[0.500, 0.500, 0.250], [0.500, 0.500, 0.750], [0.000, 0.000, 0.976], [0.000, 0.000, 0.524]]}

Run x
{"formula": "AlIn2Pb", "functional": "PBE", "state": "optimized geometry", "m_tot_mub_per_cell": 0.00, "lattice_angstrom": [[0.000, 3.764, 3.764], [3.764, 0.000, 3.764], [3.764, 3.764, 0.000]], "species": ["Pb", "Al", "In", "In"], "frac_coords": [[0.500, 0.500, 0.500], [0.000, 0.000, 0.000], [0.250, 0.250, 0.250], [0.750, 0.750, 0.750]]}

Run y
{"formula": "AlIn2Pb", "functional": "PBE", "state": "optimized geometry", "m_tot_mub_per_cell": 0.00, "lattice_angstrom": [[5.934, 0.200, 0.000], [2.213, 5.510, 0.000], [-4.073, -2.855, 3.242]], "species": ["Pb", "Al", "In", "In"], "frac_coords": [[0.250, 0.750, 0.500], [0.750, 0.250, 0.500], [0.000, 0.000, 0.000], [0.500, 0.500, 0.000]]}

Most stable: run w. Least stable: run x.

Run w
{"formula": "AlIn2Pb", "functional": "PBE", "state": "optimized geometry", "m_tot_mub_per_cell": 0.00, "lattice_angstrom": [[5.777, 0.001, 0.000], [1.918, 5.449, 0.000], [-3.847, -2.725, 3.338]], "species": ["Pb", "Al", "In", "In"], "frac_coords": [[0.500, 0.500, 0.000], [0.750, 0.250, 0.500], [0.000, 0.000, 0.000], [0.250, 0.750, 0.500]]}

Run x
{"formula": "AlIn2Pb", "functional": "PBE", "state": "optimized geometry", "m_tot_mub_per_cell": 0.00, "lattice_angstrom": [[11.273, 0.130, 0.076], [10.753, 3.387, 0.076], [10.753, 1.717, 2.920]], "species": ["Pb", "Al", "In", "In"], "frac_coords": [[0.250, 0.250, 0.250], [0.750, 0.750, 0.750], [0.010, 0.010, 0.010], [0.490, 0.490, 0.490]]}

Most stable: run x. Least stable: run w.

Run w
{"formula": "AlIn2Pb", "functional": "PBE", "state": "optimized geometry", "m_tot_mub_per_cell": 0.00, "lattice_angstrom": [[-2.397, -0.969, 4.314], [1.235, -3.277, -0.050], [5.534, -0.124, 3.047]], "species": ["Pb", "Al", "In", "In"], "frac_coords": [[0.000, 0.559, 0.548], [0.500, 0.968, 0.725], [0.000, 0.785, 0.015], [0.500, 0.188, 0.212]]}

Run x
{"formula": "AlIn2Pb", "functional": "PBE", "state": "optimized geometry", "m_tot_mub_per_cell": 0.00, "lattice_angstrom": [[6.135, 0.079, 0.008], [5.181, 3.287, 0.008], [1.797, 0.535, 5.271]], "species": ["Pb", "Al", "In", "In"], "frac_coords": [[0.750, 0.750, 0.750], [0.250, 0.250, 0.250], [0.978, 0.978, 0.018], [0.522, 0.522, 0.482]]}

Most stable: run x. Least stable: run w.

Run w
{"formula": "AlIn2Pb", "functional": "PBE", "state": "optimized geometry", "m_tot_mub_per_cell": 0.00, "lattice_angstrom": [[6.243, -0.153, 0.257], [-2.971, 5.557, 0.239], [0.697, 1.108, 3.194]], "species": ["Pb", "Al", "In", "In"], "frac_coords": [[0.000, 0.500, 0.500], [0.500, 0.500, 0.000], [0.000, 0.000, 0.000], [0.500, 0.000, 0.500]]}

Run x
{"formula": "AlIn2Pb", "functional": "PBE", "state": "optimized geometry", "m_tot_mub_per_cell": 0.00, "lattice_angstrom": [[-3.489, 2.730, 2.531], [-2.428, -1.938, -1.256], [-0.376, -4.514, 4.351]], "species": ["Pb", "Al", "In", "In"], "frac_coords": [[0.500, 0.250, 0.250], [0.500, 0.750, 0.750], [0.000, 0.916, 0.983], [0.000, 0.584, 0.517]]}

Most stable: run x. Least stable: run w.

Run w
{"formula": "Al2InPb2", "functional": "PBE", "state": "optimized geometry", "m_tot_mub_per_cell": 0.00, "lattice_angstrom": [[-5.422, -3.350, -6.153], [6.759, -0.455, -5.709], [0.705, -3.130, 1.083]], "species": ["Pb", "Pb", "Pb", "Pb", "Al", "Al", "Al", "Al", "In", "In"], "frac_coords": [[0.322, 0.822, 0.000], [0.822, 0.678, 0.000], [0.678, 0.178, 0.000], [0.178, 0.322, 0.000], [0.115, 0.615, 0.500], [0.615, 0.885, 0.500], [0.885, 0.385, 0.500], [0.385, 0.115, 0.500], [0.000, 0.000, 0.000], [0.500, 0.500, 0.000]]}

Run x
{"formula": "Al2InPb2", "functional": "PBE", "state": "optimized geometry", "m_tot_mub_per_cell": 0.00, "lattice_angstrom": [[3.887, 0.000, 0.000], [0.000, 3.887, 0.000], [1.943, 1.943, 9.003]], "species": ["Pb", "Pb", "Al", "Al", "In"], "frac_coords": [[0.382, 0.382, 0.236], [0.618, 0.618, 0.764], [0.750, 0.250, 0.500], [0.250, 0.750, 0.500], [0.000, 0.000, 0.000]]}

Run y
{"formula": "Al2InPb2", "functional": "PBE", "state": "optimized geometry", "m_tot_mub_per_cell": 0.00, "lattice_angstrom": [[4.879, 0.000, 0.000], [0.000, 4.879, 0.000], [2.439, 2.439, 5.936]], "species": ["Pb", "Pb", "Al", "Al", "In"], "frac_coords": [[0.750, 0.250, 0.500], [0.250, 0.750, 0.500], [0.393, 0.393, 0.213], [0.607, 0.607, 0.787], [0.000, 0.000, 0.000]]}

Most stable: run x. Least stable: run w.

Run w
{"formula": "AlInPb", "functional": "PBE", "state": "optimized geometry", "m_tot_mub_per_cell": 0.00, "lattice_angstrom": [[5.126, 0.000, 0.000], [-2.563, 4.439, 0.000], [0.000, 0.000, 3.429]], "species": ["Pb", "Al", "In"], "frac_coords": [[0.667, 0.333, 0.681], [0.000, 0.000, 0.131], [0.333, 0.667, 0.189]]}

Run x
{"formula": "AlInPb", "functional": "PBE", "state": "optimized geometry", "m_tot_mub_per_cell": 0.00, "lattice_angstrom": [[-3.527, -0.100, 0.454], [0.291, -3.183, 1.562], [1.266, 5.545, 11.067]], "species": ["In", "In", "Pb", "Pb", "Al", "Al"], "frac_coords": [[0.000, 0.500, 0.589], [0.500, 0.000, 0.411], [0.500, 0.000, 0.795], [0.000, 0.500, 0.205], [0.000, 0.500, 0.952], [0.500, 0.000, 0.048]]}

Run y
{"formula": "AlInPb", "functional": "PBE", "state": "optimized geometry", "m_tot_mub_per_cell": 0.00, "lattice_angstrom": [[6.999, -0.029, 0.021], [6.198, 3.227, 0.720], [0.801, -0.402, 3.306]], "species": ["Pb", "Al", "In"], "frac_coords": [[0.657, 0.657, 0.343], [0.992, 0.992, 0.008], [0.351, 0.351, 0.649]]}

Most stable: run x. Least stable: run w.

Run w
{"formula": "AlInPb3", "functional": "PBE", "state": "optimized geometry", "m_tot_mub_per_cell": 0.00, "lattice_angstrom": [[5.501, 0.000, 0.000], [0.000, 5.501, 0.000], [0.000, 0.000, 5.501]], "species": ["Pb", "Pb", "Pb", "Al", "In"], "frac_coords": [[0.000, 0.500, 0.000], [0.000, 0.000, 0.500], [0.500, 0.000, 0.000], [0.000, 0.000, 0.000], [0.500, 0.500, 0.500]]}

Run x
{"formula": "AlInPb3", "functional": "PBE", "state": "optimized geometry", "m_tot_mub_per_cell": 0.00, "lattice_angstrom": [[-5.483, 0.837, -1.649], [-0.520, -5.650, -1.137], [-1.774, -0.929, 5.428]], "species": ["Pb", "Pb", "Pb", "Al", "In"], "frac_coords": [[0.000, 0.500, 0.000], [0.000, 0.000, 0.500], [0.500, 0.000, 0.000], [0.500, 0.500, 0.500], [0.000, 0.000, 0.000]]}

Most stable: run w. Least stable: run x.

Run w
{"formula": "AlInPd4", "functional": "PBE", "state": "optimized geometry", "m_tot_mub_per_cell": 0.00, "lattice_angstrom": [[-0.020, 2.804, 3.841], [5.722, -5.293, 3.893], [3.480, 3.088, -0.916]], "species": ["Al", "Al", "In", "In", "Pd", "Pd", "Pd", "Pd", "Pd", "Pd", "Pd", "Pd"], "frac_coords": [[0.500, 0.000, 0.500], [0.000, 0.500, 0.500], [0.000, 0.000, 0.000], [0.500, 0.500, 0.000], [0.999, 0.659, 0.001], [0.501, 0.159, 0.999], [0.502, 0.338, 0.499], [0.998, 0.838, 0.501], [0.001, 0.341, 0.999], [0.499, 0.841, 0.001], [0.498, 0.662, 0.501], [0.002, 0.162, 0.499]]}

Run x
{"formula": "AlInPd4", "functional": "PBE", "state": "optimized geometry", "m_tot_mub_per_cell": 0.00, "lattice_angstrom": [[-0.624, -0.081, 3.038], [-1.959, -6.960, -0.589], [16.154, -4.817, 3.188]], "species": ["Al", "Al", "Al", "Al", "In", "In", "In", "In", "Pd", "Pd", "Pd", "Pd", "Pd", "Pd", "Pd", "Pd", "Pd", "Pd", "Pd", "Pd", "Pd", "Pd", "Pd", "Pd"], "frac_coords": [[0.750, 0.250, 0.449], [0.250, 0.750, 0.551], [0.250, 0.250, 0.949], [0.750, 0.750, 0.051], [0.750, 0.723, 0.813], [0.250, 0.277, 0.187], [0.250, 0.777, 0.313], [0.750, 0.223, 0.687], [0.750, 0.855, 0.658], [0.250, 0.145, 0.342], [0.250, 0.645, 0.158], [0.750, 0.355, 0.842], [0.750, 0.887, 0.445], [0.250, 0.113, 0.555], [0.250, 0.613, 0.945], [0.750, 0.387, 0.055], [0.750, 0.975, 0.932], [0.250, 0.025, 0.068], [0.250, 0.525, 0.432], [0.750, 0.475, 0.568], [0.750, 0.960, 0.204], [0.250, 0.040, 0.796], [0.250, 0.540, 0.704], [0.750, 0.460, 0.296]]}

Most stable: run x. Least stable: run w.

Run w
{"formula": "AlIn3Pd", "functional": "PBE", "state": "optimized geometry", "m_tot_mub_per_cell": 0.00, "lattice_angstrom": [[5.213, 0.000, 0.000], [0.000, 5.213, 0.000], [0.000, 0.000, 5.213]], "species": ["Al", "Pd", "In", "In", "In"], "frac_coords": [[0.000, 0.000, 0.000], [0.500, 0.500, 0.500], [0.000, 0.500, 0.000], [0.000, 0.000, 0.500], [0.500, 0.000, 0.000]]}

Run x
{"formula": "AlIn3Pd", "functional": "PBE", "state": "optimized geometry", "m_tot_mub_per_cell": 0.00, "lattice_angstrom": [[-4.446, 0.852, 2.495], [0.142, -4.807, 1.895], [2.633, 1.698, 4.111]], "species": ["Al", "Pd", "In", "In", "In"], "frac_coords": [[0.500, 0.500, 0.500], [0.000, 0.000, 0.000], [0.000, 0.500, 0.000], [0.000, 0.000, 0.500], [0.500, 0.000, 0.000]]}

Most stable: run x. Least stable: run w.

Run w
{"formula": "Al2InPd8", "functional": "PBE", "state": "optimized geometry", "m_tot_mub_per_cell": 0.00, "lattice_angstrom": [[-2.050, -3.561, -0.070], [0.892, -0.637, 6.283], [-4.881, 5.205, -1.149]], "species": ["Al", "Al", "In", "Pd", "Pd", "Pd", "Pd", "Pd", "Pd", "Pd", "Pd"], "frac_coords": [[0.785, 0.339, 0.569], [0.215, 0.661, 0.431], [0.500, 0.000, 0.000], [0.395, 0.526, 0.789], [0.679, 0.932, 0.359], [0.840, 0.768, 0.681], [0.959, 0.271, 0.918], [0.160, 0.232, 0.319], [0.321, 0.068, 0.641], [0.605, 0.474, 0.211], [0.041, 0.729, 0.082]]}

Run x
{"formula": "Al2InPd8", "functional": "PBE", "state": "optimized geometry", "m_tot_mub_per_cell": 0.00, "lattice_angstrom": [[3.939, 0.000, -1.199], [-1.036, 5.991, -3.403], [0.072, 0.111, 7.306]], "species": ["Al", "Al", "In", "Pd", "Pd", "Pd", "Pd", "Pd", "Pd", "Pd", "Pd"], "frac_coords": [[0.191, 0.691, 0.382], [0.809, 0.309, 0.618], [0.500, 0.000, 0.000], [0.663, 0.880, 0.325], [0.337, 0.555, 0.675], [0.151, 0.151, 0.302], [0.000, 0.307, 0.000], [0.849, 0.849, 0.698], [0.663, 0.445, 0.325], [0.337, 0.120, 0.675], [0.000, 0.693, 0.000]]}

Most stable: run w. Least stable: run x.

Run w
{"formula": "AlInPd5", "functional": "PBE", "state": "optimized geometry", "m_tot_mub_per_cell": 0.00, "lattice_angstrom": [[0.429, 4.564, -2.785], [2.826, -0.181, -4.555], [-7.550, -2.057, -4.711]], "species": ["Al", "Al", "In", "In", "Pd", "Pd", "Pd", "Pd", "Pd", "Pd", "Pd", "Pd", "Pd", "Pd"], "frac_coords": [[0.382, 0.618, 0.250], [0.618, 0.382, 0.750], [0.000, 0.000, 0.000], [0.000, 0.000, 0.500], [0.930, 0.637, 0.237], [0.312, 0.391, 0.501], [0.637, 0.930, 0.737], [0.799, 0.201, 0.250], [0.609, 0.688, 0.999], [0.391, 0.312, 0.001], [0.201, 0.799, 0.750], [0.363, 0.070, 0.263], [0.688, 0.609, 0.499], [0.070, 0.363, 0.763]]}

Run x
{"formula": "AlInPd5", "functional": "PBE", "state": "optimized geometry", "m_tot_mub_per_cell": 0.00, "lattice_angstrom": [[-1.185, -2.124, 3.339], [3.817, -1.533, 0.380], [1.715, 5.251, 3.948]], "species": ["Al", "In", "Pd", "Pd", "Pd", "Pd", "Pd"], "frac_coords": [[0.500, 0.500, 0.000], [0.000, 0.000, 0.500], [0.000, 0.500, 0.787], [0.000, 0.500, 0.213], [0.500, 0.000, 0.787], [0.500, 0.000, 0.213], [0.500, 0.500, 0.500]]}

Most stable: run x. Least stable: run w.

Run w
{"formula": "PmAl2In", "functional": "PBE", "state": "optimized geometry", "m_tot_mub_per_cell": 0.00, "lattice_angstrom": [[4.382, 0.000, 0.000], [0.000, 4.503, 0.000], [0.000, 0.000, 4.503]], "species": ["In", "Al", "Al", "Pm"], "frac_coords": [[0.500, 0.000, 0.000], [0.000, 0.000, 0.500], [0.000, 0.500, 0.000], [0.500, 0.500, 0.500]]}

Run x
{"formula": "PmAl2In", "functional": "PBE", "state": "optimized geometry", "m_tot_mub_per_cell": 0.00, "lattice_angstrom": [[-1.950, 0.267, -4.134], [-4.562, -0.016, -0.384], [-2.219, 5.303, -1.146]], "species": ["In", "Al", "Al", "Pm"], "frac_coords": [[0.000, 0.000, 0.000], [0.279, 0.279, 0.164], [0.721, 0.721, 0.836], [0.500, 0.500, 0.500]]}

Most stable: run w. Least stable: run x.